Below is a geometry-optimized Sm3CdSn2 structure, with properties calculated at the GGA-PBE level.

Output
formation energy from the elements = -0.525 eV per atom
E_tot = -52.45 eV/cell
total moment = 0.0 μB/cell

```
Sm3CdSn2
1.0
6.4608 0.0000 0.0000
0.0000 6.4341 -0.1400
-3.2304 -1.7417 8.1551
Sm Sn Cd
6 4 2
Cartesian
-0.7034 3.2795 2.7573
4.1942 1.6085 -0.0350
0.7035 0.0624 2.8273
2.5269 4.6300 5.1878
3.9338 1.4129 5.2578
2.2666 4.8256 -0.1050
3.9067 -0.2372 2.5481
2.5541 2.9799 2.4781
-0.6763 4.9296 5.4671
0.6763 1.7125 5.5370
0.8848 1.6085 -0.0350
5.5760 4.8256 -0.1050
```